DFT (PBE-GGA) results for crystalline Zr2BeSb at its relaxed geometry.

Calculated values
Crystal system   monoclinic
Formation energy from raw total energies   -0.160 eV per atom
Magnetization   0.00 μB per formula unit

```
data_Zr2BeSb
_chemical_formula_sum 'Zr4 Be2 Sb2'
_symmetry_space_group_name_H-M 'C 1 2/m 1'
_symmetry_Int_Tables_number 12
_symmetry_space_group_name_Hall '-C 2y'
_cell_length_a 5.9610
_cell_length_b 7.7815
_cell_length_c 3.3839
_cell_angle_alpha 90.00
_cell_angle_beta 90.72
_cell_angle_gamma 90.00
loop_
_atom_site_label
_atom_site_type_symbol
_atom_site_fract_x
_atom_site_fract_y
_atom_site_fract_z
_atom_site_occupancy
Zr1 Zr 0.2500 0.2500 0.0000 1
Be1 Be 0.0000 0.0000 0.5000 1
Sb1 Sb 0.0000 0.5000 0.5000 1
```

DFT (PBE-GGA) results for crystalline LiTlO at its relaxed geometry.

Calculated values
Crystal system   triclinic
Formation energy from raw total energies   -1.155 eV per atom
Magnetization   0.00 μB per formula unit

```
data_LiTlO
_chemical_formula_sum 'Li2 Tl2 O2'
_symmetry_space_group_name_H-M 'P -1'
_symmetry_Int_Tables_number 2
_symmetry_space_group_name_Hall '-P 1'
_cell_length_a 3.3641
_cell_length_b 5.5841
_cell_length_c 5.7034
_cell_angle_alpha 108.33
_cell_angle_beta 90.10
_cell_angle_gamma 90.07
loop_
_atom_site_label
_atom_site_type_symbol
_atom_site_fract_x
_atom_site_fract_y
_atom_site_fract_z
_atom_site_occupancy
Li1 Li 0.2492 0.3666 0.3723 1
Tl1 Tl 0.2514 0.1716 0.7900 1
O1 O 0.2506 0.7373 0.5068 1
```

DFT (PBE-GGA) results for crystalline ReP2Br at its relaxed geometry.

Calculated values
Crystal system   trigonal
Formation energy from raw total energies   0.448 eV per atom
Magnetization   0.00 μB per formula unit

```
data_ReP2Br
_chemical_formula_sum 'Re3 P6 Br3'
_symmetry_space_group_name_H-M 'R 3 m'
_symmetry_Int_Tables_number 160
_symmetry_space_group_name_Hall 'R 3 -2"'
_cell_length_a 3.0339
_cell_length_b 3.0339
_cell_length_c 27.6026
_cell_angle_alpha 90.00
_cell_angle_beta 90.00
_cell_angle_gamma 120.00
loop_
_atom_site_label
_atom_site_type_symbol
_atom_site_fract_x
_atom_site_fract_y
_atom_site_fract_z
_atom_site_occupancy
Re1 Re 0.0000 0.0000 0.0000 1
P1 P 0.0000 0.0000 0.4564 1
P2 P 0.0000 0.0000 0.7258 1
Br1 Br 0.0000 0.0000 0.2550 1
```

DFT (PBE-GGA) results for crystalline Cu3ReNi at its relaxed geometry.

Calculated values
Crystal system   cubic
Energy of formation   1.8331 eV/atom
Magnetization   0.41 μB per formula unit

```
data_Cu3ReNi
_chemical_formula_sum 'Cu3 Re1 Ni1'
_symmetry_space_group_name_H-M 'P m -3 m'
_symmetry_Int_Tables_number 221
_symmetry_space_group_name_Hall '-P 4 2 3'
_cell_length_a 4.6041
_cell_length_b 4.6041
_cell_length_c 4.6041
_cell_angle_alpha 90.00
_cell_angle_beta 90.00
_cell_angle_gamma 90.00
loop_
_atom_site_label
_atom_site_type_symbol
_atom_site_fract_x
_atom_site_fract_y
_atom_site_fract_z
_atom_site_occupancy
Cu1 Cu 0.0000 0.0000 0.5000 1
Re1 Re 0.0000 0.0000 0.0000 1
Ni1 Ni 0.5000 0.5000 0.5000 1
```

DFT (PBE-GGA) results for crystalline LaCe2Zn at its relaxed geometry.

Calculated values
Crystal system   trigonal
Energy of formation   0.1955 eV/atom
Magnetization   0.94 μB per formula unit

```
data_LaCe2Zn
_chemical_formula_sum 'La3 Ce6 Zn3'
_symmetry_space_group_name_H-M 'R 3 m'
_symmetry_Int_Tables_number 160
_symmetry_space_group_name_Hall 'R 3 -2"'
_cell_length_a 4.5237
_cell_length_b 4.5237
_cell_length_c 19.9683
_cell_angle_alpha 90.00
_cell_angle_beta 90.00
_cell_angle_gamma 120.00
loop_
_atom_site_label
_atom_site_type_symbol
_atom_site_fract_x
_atom_site_fract_y
_atom_site_fract_z
_atom_site_occupancy
La1 La 0.0000 0.0000 0.0000 1
Ce1 Ce 0.0000 0.0000 0.2054 1
Ce2 Ce 0.0000 0.0000 0.3998 1
Zn1 Zn 0.0000 0.0000 0.7972 1
```

DFT (PBE-GGA) results for crystalline TaCu2Pb at its relaxed geometry.

Calculated values
Crystal system   tetragonal
Energy of formation   0.5458 eV/atom
Magnetization   0.38 μB per formula unit

```
data_TaCu2Pb
_chemical_formula_sum 'Ta2 Cu4 Pb2'
_symmetry_space_group_name_H-M 'I -4 m 2'
_symmetry_Int_Tables_number 119
_symmetry_space_group_name_Hall 'I -4 -2'
_cell_length_a 3.9487
_cell_length_b 3.9487
_cell_length_c 8.7916
_cell_angle_alpha 90.00
_cell_angle_beta 90.00
_cell_angle_gamma 90.00
loop_
_atom_site_label
_atom_site_type_symbol
_atom_site_fract_x
_atom_site_fract_y
_atom_site_fract_z
_atom_site_occupancy
Ta1 Ta 0.0000 0.0000 0.0000 1
Cu1 Cu 0.0000 0.0000 0.5000 1
Cu2 Cu 0.0000 0.5000 0.7500 1
Pb1 Pb 0.0000 0.5000 0.2500 1
```

DFT (PBE-GGA) results for crystalline Zr2ReSI at its relaxed geometry.

Calculated values
Crystal system   tetragonal
Formation energy from raw total energies   0.960 eV per atom
Magnetization   2.27 μB per formula unit

```
data_Zr2ReSI
_chemical_formula_sum 'Zr2 Re1 S1 I1'
_symmetry_space_group_name_H-M 'P 4/m m m'
_symmetry_Int_Tables_number 123
_symmetry_space_group_name_Hall '-P 4 2'
_cell_length_a 4.7680
_cell_length_b 4.7680
_cell_length_c 5.3006
_cell_angle_alpha 90.00
_cell_angle_beta 90.00
_cell_angle_gamma 90.00
loop_
_atom_site_label
_atom_site_type_symbol
_atom_site_fract_x
_atom_site_fract_y
_atom_site_fract_z
_atom_site_occupancy
Zr1 Zr 0.0000 0.5000 0.0000 1
Re1 Re 0.0000 0.0000 0.5000 1
S1 S 0.5000 0.5000 0.0000 1
I1 I 0.5000 0.5000 0.5000 1
```

DFT (PBE-GGA) results for crystalline TlCrP2 at its relaxed geometry.

Calculated values
Crystal system   tetragonal
Energy of formation   0.2425 eV/atom
Magnetization   0.00 μB per formula unit

```
data_TlCrP2
_chemical_formula_sum 'Tl1 Cr1 P2'
_symmetry_space_group_name_H-M 'P 4 m m'
_symmetry_Int_Tables_number 99
_symmetry_space_group_name_Hall 'P 4 -2'
_cell_length_a 3.0507
_cell_length_b 3.0507
_cell_length_c 7.6993
_cell_angle_alpha 90.00
_cell_angle_beta 90.00
_cell_angle_gamma 90.00
loop_
_atom_site_label
_atom_site_type_symbol
_atom_site_fract_x
_atom_site_fract_y
_atom_site_fract_z
_atom_site_occupancy
Tl1 Tl 0.0000 0.0000 0.0000 1
Cr1 Cr 0.5000 0.5000 0.3065 1
P1 P 0.0000 0.0000 0.4161 1
P2 P 0.5000 0.5000 0.6051 1
```

DFT (PBE-GGA) results for crystalline SmY8Sc2 at its relaxed geometry.

Calculated values
Crystal system   monoclinic
Energy of formation   0.1757 eV/atom
Magnetization   0.00 μB per formula unit

```
data_SmY8Sc2
_chemical_formula_sum 'Sm2 Y16 Sc4'
_symmetry_space_group_name_H-M 'C 1 2/m 1'
_symmetry_Int_Tables_number 12
_symmetry_space_group_name_Hall '-C 2y'
_cell_length_a 8.8815
_cell_length_b 15.7921
_cell_length_c 5.7746
_cell_angle_alpha 90.00
_cell_angle_beta 121.15
_cell_angle_gamma 90.00
loop_
_atom_site_label
_atom_site_type_symbol
_atom_site_fract_x
_atom_site_fract_y
_atom_site_fract_z
_atom_site_occupancy
Sm1 Sm 0.0000 0.0000 0.0000 1
Y1 Y 0.0000 0.2097 0.0000 1
Y2 Y 0.0783 0.5000 0.7921 1
Y3 Y 0.2160 0.1188 0.6635 1
Sc1 Sc 0.0000 0.3076 0.5000 1
```

DFT (PBE-GGA) results for crystalline Ga3AgB4O12 at its relaxed geometry.

Calculated values
Crystal system   trigonal
Formation energy from raw total energies   -1.822 eV per atom
Magnetization   0.95 μB per formula unit

```
data_Ga3AgB4O12
_chemical_formula_sum 'Ga9 Ag3 B12 O36'
_symmetry_space_group_name_H-M 'R 3 2'
_symmetry_Int_Tables_number 155
_symmetry_space_group_name_Hall 'R 3 2"'
_cell_length_a 9.5562
_cell_length_b 9.5562
_cell_length_c 7.5544
_cell_angle_alpha 90.00
_cell_angle_beta 90.00
_cell_angle_gamma 120.00
loop_
_atom_site_label
_atom_site_type_symbol
_atom_site_fract_x
_atom_site_fract_y
_atom_site_fract_z
_atom_site_occupancy
Ga1 Ga 0.0000 0.5531 0.0000 1
Ag1 Ag 0.0000 0.0000 0.0000 1
B1 B 0.0000 0.0000 0.5000 1
B2 B 0.0000 0.4481 0.5000 1
O1 O 0.0000 0.5922 0.5000 1
O2 O 0.0000 0.8553 0.5000 1
O3 O 0.0283 0.2173 0.1830 1
```

DFT (PBE-GGA) results for crystalline CdBiAu2 at its relaxed geometry.

Calculated values
Crystal system   monoclinic
Energy of formation   -0.0624 eV/atom
Magnetization   0.00 μB per formula unit

```
data_CdBiAu2
_chemical_formula_sum 'Cd2 Bi2 Au4'
_symmetry_space_group_name_H-M 'P 1 21/m 1'
_symmetry_Int_Tables_number 11
_symmetry_space_group_name_Hall '-P 2yb'
_cell_length_a 5.9076
_cell_length_b 4.6139
_cell_length_c 7.1771
_cell_angle_alpha 90.00
_cell_angle_beta 109.18
_cell_angle_gamma 90.00
loop_
_atom_site_label
_atom_site_type_symbol
_atom_site_fract_x
_atom_site_fract_y
_atom_site_fract_z
_atom_site_occupancy
Cd1 Cd 0.1747 0.2500 0.0964 1
Bi1 Bi 0.2799 0.2500 0.6193 1
Au1 Au 0.1980 0.7500 0.3332 1
Au2 Au 0.3385 0.7500 0.9324 1
```

DFT (PBE-GGA) results for crystalline Tb2NdSmS6 at its relaxed geometry.

Calculated values
Crystal system   trigonal
Formation energy from raw total energies   -2.040 eV per atom
Magnetization   0.00 μB per formula unit

```
data_Tb2NdSmS6
_chemical_formula_sum 'Tb6 Nd3 Sm3 S18'
_symmetry_space_group_name_H-M 'R 3'
_symmetry_Int_Tables_number 146
_symmetry_space_group_name_Hall 'R 3'
_cell_length_a 7.0516
_cell_length_b 7.0516
_cell_length_c 18.6744
_cell_angle_alpha 90.00
_cell_angle_beta 90.00
_cell_angle_gamma 120.00
loop_
_atom_site_label
_atom_site_type_symbol
_atom_site_fract_x
_atom_site_fract_y
_atom_site_fract_z
_atom_site_occupancy
Tb1 Tb 0.0000 0.0000 0.0000 1
Tb2 Tb 0.0000 0.0000 0.4987 1
Nd1 Nd 0.0000 0.0000 0.2052 1
Sm1 Sm 0.0000 0.0000 0.7030 1
S1 S 0.0105 0.3046 0.0983 1
S2 S 0.0167 0.7124 0.5983 1
```

DFT (PBE-GGA) results for crystalline ScMn2VCl at its relaxed geometry.

Calculated values
Crystal system   tetragonal
Formation energy from raw total energies   1.489 eV per atom
Magnetization   9.98 μB per formula unit

```
data_ScMn2VCl
_chemical_formula_sum 'Sc1 Mn2 V1 Cl1'
_symmetry_space_group_name_H-M 'P 4/m m m'
_symmetry_Int_Tables_number 123
_symmetry_space_group_name_Hall '-P 4 2'
_cell_length_a 4.9164
_cell_length_b 4.9164
_cell_length_c 4.9441
_cell_angle_alpha 90.00
_cell_angle_beta 90.00
_cell_angle_gamma 90.00
loop_
_atom_site_label
_atom_site_type_symbol
_atom_site_fract_x
_atom_site_fract_y
_atom_site_fract_z
_atom_site_occupancy
Sc1 Sc 0.0000 0.0000 0.0000 1
Mn1 Mn 0.0000 0.5000 0.0000 1
V1 V 0.0000 0.0000 0.5000 1
Cl1 Cl 0.5000 0.5000 0.5000 1
```

DFT (PBE-GGA) results for crystalline SrNbV2 at its relaxed geometry.

Calculated values
Crystal system   cubic
Energy of formation   0.9586 eV/atom
Magnetization   3.81 μB per formula unit

```
data_SrNbV2
_chemical_formula_sum 'Sr4 Nb4 V8'
_symmetry_space_group_name_H-M 'F m -3 m'
_symmetry_Int_Tables_number 225
_symmetry_space_group_name_Hall '-F 4 2 3'
_cell_length_a 6.8512
_cell_length_b 6.8512
_cell_length_c 6.8512
_cell_angle_alpha 90.00
_cell_angle_beta 90.00
_cell_angle_gamma 90.00
loop_
_atom_site_label
_atom_site_type_symbol
_atom_site_fract_x
_atom_site_fract_y
_atom_site_fract_z
_atom_site_occupancy
Sr1 Sr 0.0000 0.0000 0.0000 1
Nb1 Nb 0.0000 0.0000 0.5000 1
V1 V 0.2500 0.2500 0.2500 1
```

DFT (PBE-GGA) results for crystalline CaSi2Ru at its relaxed geometry.

Calculated values
Crystal system   monoclinic
Formation energy from raw total energies   -0.512 eV per atom
Magnetization   0.00 μB per formula unit

```
data_CaSi2Ru
_chemical_formula_sum 'Ca2 Si4 Ru2'
_symmetry_space_group_name_H-M 'C 1 2/m 1'
_symmetry_Int_Tables_number 12
_symmetry_space_group_name_Hall '-C 2y'
_cell_length_a 7.0501
_cell_length_b 4.0757
_cell_length_c 5.6778
_cell_angle_alpha 90.00
_cell_angle_beta 114.59
_cell_angle_gamma 90.00
loop_
_atom_site_label
_atom_site_type_symbol
_atom_site_fract_x
_atom_site_fract_y
_atom_site_fract_z
_atom_site_occupancy
Ca1 Ca 0.0000 0.0000 0.0000 1
Si1 Si 0.2075 0.0000 0.6220 1
Ru1 Ru 0.0000 0.5000 0.5000 1
```

DFT (PBE-GGA) results for crystalline CuSi3Au at its relaxed geometry.

Calculated values
Crystal system   cubic
Formation energy from raw total energies   0.719 eV per atom
Magnetization   0.00 μB per formula unit

```
data_CuSi3Au
_chemical_formula_sum 'Cu1 Si3 Au1'
_symmetry_space_group_name_H-M 'P m -3 m'
_symmetry_Int_Tables_number 221
_symmetry_space_group_name_Hall '-P 4 2 3'
_cell_length_a 4.5104
_cell_length_b 4.5104
_cell_length_c 4.5104
_cell_angle_alpha 90.00
_cell_angle_beta 90.00
_cell_angle_gamma 90.00
loop_
_atom_site_label
_atom_site_type_symbol
_atom_site_fract_x
_atom_site_fract_y
_atom_site_fract_z
_atom_site_occupancy
Cu1 Cu 0.0000 0.0000 0.0000 1
Si1 Si 0.0000 0.0000 0.5000 1
Au1 Au 0.5000 0.5000 0.5000 1
```

DFT (PBE-GGA) results for crystalline Sm2Tm2Zn3 at its relaxed geometry.

Calculated values
Crystal system   triclinic
Energy of formation   -0.1998 eV/atom
Magnetization   0.00 μB per formula unit

```
data_Sm2Tm2Zn3
_chemical_formula_sum 'Sm2 Tm2 Zn3'
_symmetry_space_group_name_H-M 'P -1'
_symmetry_Int_Tables_number 2
_symmetry_space_group_name_Hall '-P 1'
_cell_length_a 4.9795
_cell_length_b 4.9885
_cell_length_c 8.7054
_cell_angle_alpha 73.41
_cell_angle_beta 73.39
_cell_angle_gamma 60.06
loop_
_atom_site_label
_atom_site_type_symbol
_atom_site_fract_x
_atom_site_fract_y
_atom_site_fract_z
_atom_site_occupancy
Sm1 Sm 0.1246 0.1273 0.1218 1
Tm1 Tm 0.3747 0.3762 0.3732 1
Zn1 Zn 0.0000 0.0000 0.5000 1
Zn2 Zn 0.2551 0.2538 0.7366 1
```

DFT (PBE-GGA) results for crystalline SrZn2Pt at its relaxed geometry.

Calculated values
Crystal system   trigonal
Energy of formation   -0.5613 eV/atom
Magnetization   0.00 μB per formula unit

```
data_SrZn2Pt
_chemical_formula_sum 'Sr3 Zn6 Pt3'
_symmetry_space_group_name_H-M 'R -3 m'
_symmetry_Int_Tables_number 166
_symmetry_space_group_name_Hall '-R 3 2"'
_cell_length_a 4.3922
_cell_length_b 4.3922
_cell_length_c 16.1765
_cell_angle_alpha 90.00
_cell_angle_beta 90.00
_cell_angle_gamma 120.00
loop_
_atom_site_label
_atom_site_type_symbol
_atom_site_fract_x
_atom_site_fract_y
_atom_site_fract_z
_atom_site_occupancy
Sr1 Sr 0.0000 0.0000 0.0000 1
Zn1 Zn 0.0000 0.0000 0.1999 1
Pt1 Pt 0.0000 0.0000 0.5000 1
```

DFT (PBE-GGA) results for crystalline ScH at its relaxed geometry.

Calculated values
Crystal system   tetragonal
Energy   -83.90 eV for the cell shown
Magnetization   0.00 μB per formula unit

```
data_ScH
_chemical_formula_sum 'Sc8 H8'
_symmetry_space_group_name_H-M 'I 4/m'
_symmetry_Int_Tables_number 87
_symmetry_space_group_name_Hall '-I 4'
_cell_length_a 8.1927
_cell_length_b 8.1927
_cell_length_c 3.2607
_cell_angle_alpha 90.00
_cell_angle_beta 90.00
_cell_angle_gamma 90.00
loop_
_atom_site_label
_atom_site_type_symbol
_atom_site_fract_x
_atom_site_fract_y
_atom_site_fract_z
_atom_site_occupancy
Sc1 Sc 0.0781 0.2607 0.0000 1
H1 H 0.1634 0.6965 0.0000 1
```

DFT (PBE-GGA) results for crystalline YSiSe2 at its relaxed geometry.

Calculated values
Crystal system   orthorhombic
Formation energy from raw total energies   -0.798 eV per atom
Magnetization   0.00 μB per formula unit

```
data_YSiSe2
_chemical_formula_sum 'Y1 Si1 Se2'
_symmetry_space_group_name_H-M 'P m m 2'
_symmetry_Int_Tables_number 25
_symmetry_space_group_name_Hall 'P 2 -2'
_cell_length_a 4.0318
_cell_length_b 4.0859
_cell_length_c 5.6902
_cell_angle_alpha 90.00
_cell_angle_beta 90.00
_cell_angle_gamma 90.00
loop_
_atom_site_label
_atom_site_type_symbol
_atom_site_fract_x
_atom_site_fract_y
_atom_site_fract_z
_atom_site_occupancy
Y1 Y 0.0000 0.0000 0.0000 1
Si1 Si 0.5000 0.5000 0.4717 1
Se1 Se 0.0000 0.0000 0.4958 1
Se2 Se 0.5000 0.5000 0.0166 1
```